No. 1
{
  "formula": "TaNb2B2",
  "functional": "PBE",
  "state": "optimized geometry",
  "lattice": [[-1.7165, -0.4599, -5.9563], [-3.4776, -4.9621, 1.3853], [-2.5906, 1.9813, 0.5936]],
  "species": ["B", "B", "B", "B", "Nb", "Nb", "Nb", "Nb", "Ta", "Ta"],
  "frac_coords": [[0.6066, 0.1066, 0.0000], [0.1066, 0.3934, 0.0000], [0.8934, 0.6066, 0.0000], [0.3934, 0.8934, 0.0000], [0.3227, 0.1773, 0.5000], [0.8227, 0.3227, 0.5000], [0.1773, 0.6773, 0.5000], [0.6773, 0.8227, 0.5000], [0.0000, 0.0000, 0.0000], [0.5000, 0.5000, 0.0000]],
  "rho_kg_m3": 10071,
  "magmom_total_mub_per_fu": 0.00,
  "final_energy_ev_per_atom": -9.73,
  "crystal_system": "tetragonal"
}

=====

No. 2
{
  "formula": "Ta2NbB2",
  "functional": "PBE",
  "state": "optimized geometry",
  "lattice": [[-1.4712, -2.1898, -5.6330], [2.7481, -5.4058, 1.3838], [-2.8480, -1.1436, 1.1884]],
  "species": ["B", "B", "B", "B", "Nb", "Nb", "Ta", "Ta", "Ta", "Ta"],
  "frac_coords": [[0.6065, 0.1065, 0.0000], [0.1065, 0.3935, 0.0000], [0.8935, 0.6065, 0.0000], [0.3935, 0.8935, 0.0000], [0.0000, 0.0000, 0.0000], [0.5000, 0.5000, 0.0000], [0.3217, 0.1783, 0.5000], [0.8217, 0.3217, 0.5000], [0.1783, 0.6783, 0.5000], [0.6783, 0.8217, 0.5000]],
  "rho_kg_m3": 12426,
  "magmom_total_mub_per_fu": 0.00,
  "final_energy_ev_per_atom": -10.09,
  "crystal_system": "tetragonal"
}

=====

No. 3
{
  "formula": "Ta3Nb2B6",
  "functional": "PBE",
  "state": "optimized geometry",
  "lattice": [[7.9687, -1.8869, -8.0772], [-7.9899, 4.7606, 6.7675], [2.3606, 0.9750, 2.1011]],
  "species": ["B", "B", "B", "B", "B", "B", "Nb", "Nb", "Ta", "Ta", "Ta"],
  "frac_coords": [[0.7274, 0.2726, 0.0000], [0.2726, 0.7274, 0.0000], [0.9180, 0.0820, 0.5000], [0.5394, 0.4606, 0.5000], [0.4606, 0.5394, 0.5000], [0.0820, 0.9180, 0.5000], [0.8058, 0.1942, 0.5000], [0.1942, 0.8058, 0.5000], [0.0000, 0.0000, 0.0000], [0.6141, 0.3859, 0.0000], [0.3859, 0.6141, 0.0000]],
  "rho_kg_m3": 11073,
  "relative_energy_mev_per_atom": 4,
  "magmom_total_mub_per_fu": 0.00,
  "final_energy_ev_per_atom": -9.49,
  "crystal_system": "orthorhombic"
}